Cs2CeAgI6, optimized geometry, DFT PBE-GGA; raw formation energy = -1.229 eV per atom; energy relative to the lowest polymorph listed for this composition = 0.000 eV per atom; energy = -32.08 eV/cell
1.0
8.624 0.000 0.000
-4.312 7.469 0.000
0.000 0.000 7.255
Cs Ce Ag I
2 1 1 6
Cartesian
0.000 4.979 1.823
4.312 2.490 5.432
0.000 0.000 0.000
0.000 0.000 3.628
0.000 2.535 5.412
-2.116 6.201 5.412
2.196 1.268 1.844
2.116 6.201 5.412
6.428 1.268 1.844
4.312 4.933 1.844